# 1
Density functional theory data (GGA-PBE) for a relaxed Sr2SbSe crystal.

abc: 5.588 5.588 5.588
angles: 60.00 60.00 60.00
Sites, in units of the cell vectors:
Se: 0.750 0.750 0.750
Sb: 0.500 0.500 0.500
Sr: 0.250 0.250 0.250
Sr: 0.000 0.000 0.000

Output
Uncorrected formation energy: -0.51 eV/atom
Total energy: -3.26 eV per atom
N(E_F): 5.2 states/eV per cell
Magnetic moment: 0.00 μB/f.u.


# 2
Density functional theory data (GGA-PBE) for a relaxed SrSb4Se crystal.

abc: 6.293 6.293 6.293
angles: 60.00 60.00 60.00
Sites, in units of the cell vectors:
Sb: 0.379 0.864 0.379
Sb: 0.379 0.379 0.864
Sb: 0.864 0.379 0.379
Se: 0.750 0.750 0.750
Sb: 0.379 0.379 0.379
Sr: 0.000 0.000 0.000

Output
Uncorrected formation energy: -0.19 eV/atom
Total energy: -3.79 eV per atom
N(E_F): 4.5 states/eV per cell
Magnetic moment: 0.00 μB/f.u.


# 3
Density functional theory data (GGA-PBE) for a relaxed SrSb2Se crystal.

abc: 8.150 8.150 8.150
angles: 31.13 31.13 31.13
Sites, in units of the cell vectors:
Sb: 0.517 0.517 0.517
Se: 0.250 0.250 0.250
Sb: 0.983 0.983 0.983
Sr: 0.750 0.750 0.750

Output
Uncorrected formation energy: -0.16 eV/atom
Total energy: -3.51 eV per atom
N(E_F): 1.2 states/eV per cell
Magnetic moment: 0.00 μB/f.u.


# 4
Density functional theory data (GGA-PBE) for a relaxed Sr4SbSe crystal.

abc: 6.776 6.776 6.776
angles: 60.00 60.00 60.00
Sites, in units of the cell vectors:
Se: 0.000 0.000 0.000
Sr: 0.873 0.376 0.376
Sr: 0.376 0.873 0.376
Sr: 0.376 0.376 0.873
Sb: 0.750 0.750 0.750
Sr: 0.376 0.376 0.376

Output
Uncorrected formation energy: -0.05 eV/atom
Total energy: -2.44 eV per atom
N(E_F): 3.6 states/eV per cell
Magnetic moment: 0.00 μB/f.u.


Question: Which formula does entry 1 have?
Answer: Sr2SbSe